Material: Ba2Mg3AgF12
Method: DFT, PBE
State: optimized geometry

Computed properties:
Calculated total energy (eV/atom): -5.04
Formation energy without anion corrections (meV per atom): -3154

abc: 7.108 7.108 7.108
angles: 61.32 61.32 61.32
Site moments in Bohr magnetons follow the coordinates.
Fractional coordinates of all 18 atoms:
Ba1 0.611 0.611 0.611  0.00
Ba2 0.389 0.389 0.389  0.00
Mg1 0.500 0.000 0.000  0.00
Mg2 0.000 0.500 0.000  0.00
Mg3 0.000 0.000 0.500  0.00
Ag1 0.000 0.000 0.000  0.50
F1 0.288 0.288 0.880  0.00
F2 0.867 0.867 0.409  0.08
F3 0.409 0.867 0.867  0.08
F4 0.880 0.288 0.288  0.00
F5 0.867 0.409 0.867  0.08
F6 0.288 0.880 0.288  0.00
F7 0.712 0.712 0.120  0.00
F8 0.133 0.133 0.591  0.08
F9 0.591 0.133 0.133  0.08
F10 0.120 0.712 0.712  0.00
F11 0.133 0.591 0.133  0.08
F12 0.712 0.120 0.712  0.00



Material: LiLaZrCu2
Method: DFT, PBE
State: optimized geometry

Computed properties:
Formation enthalpy at 0 K (meV/atom): 1088
Calculated total energy (eV/atom): -3.63

abc: 4.924 4.789 4.924
angles: 90.00 90.00 90.00
Fractional coordinates of all 5 atoms:
Li1 0.000 0.500 0.000
Cu1 0.000 0.000 0.500
Cu2 0.500 0.000 0.000
Zr1 0.500 0.500 0.500
La1 0.000 0.000 0.000



Material: LiSm2Ga4Cu3
Method: DFT, PBE
State: optimized geometry

Computed properties:
Formation enthalpy at 0 K (meV/atom): -419
Calculated total energy (eV/atom): -3.99

abc: 4.208 4.208 10.185
angles: 90.00 90.00 90.00
Fractional coordinates of all 10 atoms:
Li1 0.500 0.500 0.500
Sm1 0.500 0.000 0.248
Sm2 0.000 0.500 0.752
Ga1 0.500 0.500 0.000
Ga2 0.000 0.000 0.000
Ga3 0.500 0.000 0.633
Ga4 0.000 0.500 0.367
Cu1 0.000 0.000 0.500
Cu2 0.500 0.000 0.869
Cu3 0.000 0.500 0.131



Material: Ho3GeS2
Method: DFT, PBE
State: optimized geometry

Computed properties:
Calculated total energy (eV/atom): -5.35
Formation energy without anion corrections (meV per atom): -913

abc: 6.463 7.526 7.526
angles: 89.13 90.00 90.00
Fractional coordinates of all 12 atoms:
Ho1 0.750 0.102 0.898
Ho2 0.750 0.256 0.431
Ho3 0.250 0.431 0.256
Ho4 0.750 0.569 0.744
Ho5 0.250 0.744 0.569
Ho6 0.250 0.898 0.102
Ge1 0.250 0.368 0.632
Ge2 0.750 0.632 0.368
S1 0.000 0.168 0.168
S2 0.500 0.168 0.168
S3 0.000 0.832 0.832
S4 0.500 0.832 0.832



Respective calculated volume values: 261.4; 116.1; 180.3; 183.0 Å³/f.u..